(1)
VASP calculation (GGA-PBE) on K2BaAsO after structural relaxation.

The structure in CIF format:
```
data_K2BaAsO
_cell_length_a 5.2741
_cell_length_b 5.2741
_cell_length_c 5.1884
_cell_angle_alpha 90.00
_cell_angle_beta 90.00
_cell_angle_gamma 90.00
_symmetry_space_group_name_H-M 'P 4/m m m'
_symmetry_Int_Tables_number 123
_symmetry_space_group_name_Hall '-P 4 2'
loop_
_atom_site_label
_atom_site_type_symbol
_atom_site_fract_x
_atom_site_fract_y
_atom_site_fract_z
_atom_site_occupancy
K1 K 0.0000 0.5000 0.0000 1
Ba1 Ba 0.0000 0.0000 0.5000 1
As1 As 0.5000 0.5000 0.5000 1
O1 O 0.0000 0.0000 0.0000 1
```

Values from the calculation:
As for the magnetization: 0.995 μB per formula unit. For the final energy, the calculation gives -3.753 eV per atom. The uncorrected formation energy comes out at -23.2 kcal/mol of atoms.


(2)
VASP calculation (GGA-PBE) on La2AlGeRh6 after structural relaxation.

The structure in CIF format:
```
data_La2AlGeRh6
_cell_length_a 6.5021
_cell_length_b 6.5166
_cell_length_c 9.2043
_cell_angle_alpha 90.00
_cell_angle_beta 90.00
_cell_angle_gamma 90.00
_symmetry_space_group_name_H-M 'I m m m'
_symmetry_Int_Tables_number 71
_symmetry_space_group_name_Hall '-I 2 2'
loop_
_atom_site_label
_atom_site_type_symbol
_atom_site_fract_x
_atom_site_fract_y
_atom_site_fract_z
_atom_site_occupancy
La1 La 0.0000 0.0000 0.2500 1
Al1 Al 0.0000 0.5000 0.0000 1
Ge1 Ge 0.0000 0.5000 0.5000 1
Rh1 Rh 0.0000 0.5000 0.2488 1
Rh2 Rh 0.2488 0.2512 0.0000 1
```

Values from the calculation:
As for the magnetization: 0.000 μB per formula unit. For the final energy, the calculation gives -6.667 eV per atom. As for the formation energy: -435 meV/atom.


> Which of these has the lowest magnetization?

La2AlGeRh6